## TaCoSi (PBE)

Data for a relaxed TaCoSi crystal.

The structure in extended XYZ format:
```
12
Lattice="6.219 0.000 0.000 0.000 3.657 0.000 0.000 0.000 7.035" Properties=species:S:1:pos:R:3 pbc="T T T"
Ta 0.126 0.914 1.263
Ta 2.984 2.743 4.781
Ta 3.236 0.914 2.255
Ta 6.093 2.743 5.772
Co 0.879 0.914 3.967
Co 2.231 2.743 0.449
Co 3.988 0.914 6.586
Co 5.340 2.743 3.069
Si 1.400 2.743 2.689
Si 1.709 0.914 6.207
Si 4.510 2.743 0.829
Si 4.819 0.914 4.346
```

Final energy   -8.853 eV per atom
Raw formation energy   -0.7254 eV/atom
Calculated volume   160.0 Å³ per cell
D(E_F)   0.1332 states/eV per atom



## Cu2HgI2 (PBE)

Data for a relaxed Cu2HgI2 crystal.

The structure in extended XYZ format:
```
5
Lattice="-2.048 2.048 9.667 2.048 -2.048 9.667 2.048 2.048 -9.667" Properties=species:S:1:pos:R:3 pbc="T T T"
Cu 2.048 0.000 4.833
Cu 0.000 2.048 4.833
Hg 0.000 0.000 0.000
I 0.000 0.000 6.545
I 0.000 0.000 12.788
```

Final energy   -2.408 eV per atom
Raw formation energy   -0.0886 eV/atom
Calculated volume   162.2 Å³ per cell
D(E_F)   0.0000 states/eV per atom
Offset from the most stable computed form   0.0 meV/atom



## SmDySe (PBE)

Data for a relaxed SmDySe crystal.

The structure in extended XYZ format:
```
6
Lattice="-1.824 2.765 8.400 1.824 -2.765 8.400 1.824 2.765 -8.400" Properties=species:S:1:pos:R:3 pbc="T T T"
Sm 0.000 0.000 2.877
Sm 0.000 0.000 13.924
Dy 1.824 1.402 0.000
Dy 0.000 1.363 8.400
Se 0.000 0.000 5.743
Se 0.000 0.000 11.058
```

Final energy   -4.967 eV per atom
Raw formation energy   -0.6987 eV/atom
Calculated volume   169.4 Å³ per cell
D(E_F)   0.9638 states/eV per atom
Offset from the most stable computed form   411.0 meV/atom



## NdReOs (PBE)

Data for a relaxed NdReOs crystal.

The structure in extended XYZ format:
```
6
Lattice="-2.609 2.915 3.818 2.609 -2.915 3.818 2.609 2.915 -3.818" Properties=species:S:1:pos:R:3 pbc="T T T"
Nd 0.000 1.457 0.956
Nd 2.609 1.457 2.862
Re 1.305 1.457 -1.909
Re 1.305 -1.457 1.909
Os 2.609 0.000 0.000
Os 0.000 0.000 3.818
```

E_form   -0.045 eV per atom
Final energy   -9.526 eV per atom
Calculated volume   116.2 Å³ per cell
D(E_F)   0.7867 states/eV per atom



## HfTiBi (PBE)

Data for a relaxed HfTiBi crystal.

The structure in extended XYZ format:
```
3
Lattice="4.965 0.000 0.000 -2.482 4.300 0.000 0.000 0.000 3.124" Properties=species:S:1:pos:R:3 pbc="T T T"
Hf 0.000 0.000 0.000
Ti 0.000 2.867 1.425
Bi 2.482 1.433 1.918
```

E_form   0.196 eV per atom
Final energy   -7.047 eV per atom
Calculated volume   66.7 Å³ per cell
D(E_F)   1.7905 states/eV per atom



## Pb4AuCl (PBE)

Data for a relaxed Pb4AuCl crystal.

The structure in extended XYZ format:
```
6
Lattice="0.000 4.525 4.525 4.525 0.000 4.525 4.525 4.525 0.000" Properties=species:S:1:pos:R:3 pbc="T T T"
Pb 1.126 1.126 1.126
Pb 3.399 3.399 1.126
Pb 3.399 1.126 3.399
Pb 1.126 3.399 3.399
Au 6.787 6.787 6.787
Cl 4.525 4.525 4.525
```

Final energy   -3.142 eV per atom
Raw formation energy   0.1847 eV/atom
Calculated volume   185.3 Å³ per cell
D(E_F)   0.4078 states/eV per atom



## LaPm2Nd (PBE)

Data for a relaxed LaPm2Nd crystal.

The structure in extended XYZ format:
```
4
Lattice="3.688 0.000 0.000 0.000 3.688 0.000 0.000 0.000 10.405" Properties=species:S:1:pos:R:3 pbc="T T T"
La 0.000 0.000 0.000
Pm 1.844 1.844 2.625
Pm 1.844 1.844 7.780
Nd 0.000 0.000 5.203
```

E_form   0.016 eV per atom
Final energy   -4.783 eV per atom
Calculated volume   141.5 Å³ per cell
D(E_F)   1.6743 states/eV per atom
Offset from the most stable computed form   21.2 meV/atom



## YHg3As (PBE)

Data for a relaxed YHg3As crystal.

The structure in extended XYZ format:
```
5
Lattice="5.739 0.000 0.000 0.000 5.739 0.000 0.000 0.000 5.739" Properties=species:S:1:pos:R:3 pbc="T T T"
Y 0.000 0.000 0.000
Hg 0.000 0.000 2.870
Hg 0.000 2.870 0.000
Hg 2.870 0.000 0.000
As 2.870 2.870 2.870
```

E_form   0.701 eV per atom
Final energy   -1.703 eV per atom
Calculated volume   189.0 Å³ per cell
D(E_F)   1.6973 states/eV per atom
Offset from the most stable computed form   403.4 meV/atom



## Nd3PtSe2 (PBE)

Data for a relaxed Nd3PtSe2 crystal.

The structure in extended XYZ format:
```
6
Lattice="-2.064 3.043 6.508 2.064 -3.043 6.508 2.064 3.043 -6.508" Properties=species:S:1:pos:R:3 pbc="T T T"
Nd 0.000 0.000 0.000
Nd 0.000 0.000 4.476
Nd 0.000 0.000 8.540
Pt 0.000 3.043 0.000
Se 2.064 0.000 2.210
Se 0.000 3.043 4.299
```

Final energy   -6.116 eV per atom
Raw formation energy   -1.5634 eV/atom
Calculated volume   163.5 Å³ per cell
D(E_F)   1.0657 states/eV per atom



## AgH2Ir (PBE)

Data for a relaxed AgH2Ir crystal.

The structure in extended XYZ format:
```
4
Lattice="0.000 2.699 2.699 2.699 0.000 2.699 2.699 2.699 0.000" Properties=species:S:1:pos:R:3 pbc="T T T"
Ag 0.000 0.000 0.000
H 1.350 1.350 1.350
H 4.049 4.049 4.049
Ir 2.699 2.699 2.699
```

Final energy   -3.750 eV per atom
Calculated volume   39.3 Å³ per cell
D(E_F)   0.4005 states/eV per atom
Offset from the most stable computed form   600.7 meV/atom



## MgVSb2Pd (PBE)

Data for a relaxed MgVSb2Pd crystal.

The structure in extended XYZ format:
```
5
Lattice="5.055 0.000 0.000 0.000 5.055 0.000 0.000 0.000 4.893" Properties=species:S:1:pos:R:3 pbc="T T T"
Mg 0.000 0.000 0.000
V 2.528 2.528 2.447
Sb 0.000 2.528 2.447
Sb 2.528 0.000 2.447
Pd 2.528 2.528 0.000
```

Final energy   -4.455 eV per atom
Raw formation energy   0.3752 eV/atom
Calculated volume   125.1 Å³ per cell
D(E_F)   0.8621 states/eV per atom



## VCo2H (PBE)

Data for a relaxed VCo2H crystal.

The structure in extended XYZ format:
```
8
Lattice="-2.461 2.461 3.195 2.461 -2.461 3.195 2.461 2.461 -3.195" Properties=species:S:1:pos:R:3 pbc="T T T"
V 0.000 0.000 0.000
V 0.000 2.461 1.598
Co 1.230 -0.573 2.396
Co 1.887 1.230 0.799
Co 1.230 3.034 -0.799
Co 0.573 1.230 3.994
H 2.461 0.000 1.598
H 0.000 0.000 3.195
```

Final energy   -6.518 eV per atom
Calculated volume   77.4 Å³ per cell
D(E_F)   0.8443 states/eV per atom
Offset from the most stable computed form   172.5 meV/atom



## CeGaP (PBE)

Data for a relaxed CeGaP crystal.

The structure in extended XYZ format:
```
3
Lattice="-2.056 2.056 4.048 2.056 -2.056 4.048 2.056 2.056 -4.048" Properties=species:S:1:pos:R:3 pbc="T T T"
Ce 0.000 0.000 0.000
Ga 0.000 0.000 5.242
P 0.000 0.000 2.941
```

E_form   -0.554 eV per atom
Final energy   -5.344 eV per atom
Calculated volume   68.5 Å³ per cell
D(E_F)   1.8314 states/eV per atom
Offset from the most stable computed form   186.7 meV/atom



## Cr4CdOs (PBE)

Data for a relaxed Cr4CdOs crystal.

The structure in extended XYZ format:
```
6
Lattice="0.000 3.411 3.411 3.411 0.000 3.411 3.411 3.411 0.000" Properties=species:S:1:pos:R:3 pbc="T T T"
Cr 2.570 2.570 2.570
Cr 4.252 4.252 2.570
Cr 4.252 2.570 4.252
Cr 2.570 4.252 4.252
Cd 5.117 5.117 5.117
Os 0.000 0.000 0.000
```

E_form   0.290 eV per atom
Final energy   -8.149 eV per atom
Calculated volume   79.4 Å³ per cell
D(E_F)   1.2383 states/eV per atom



## Sr2CdCu4Ge3 (PBE)

Data for a relaxed Sr2CdCu4Ge3 crystal.

The structure in extended XYZ format:
```
10
Lattice="4.373 0.000 0.000 0.000 4.373 0.000 0.000 0.000 10.291" Properties=species:S:1:pos:R:3 pbc="T T T"
Sr 0.000 2.187 2.448
Sr 2.187 0.000 7.843
Cd 0.000 0.000 5.146
Cu 0.000 0.000 0.000
Cu 0.000 2.187 6.598
Cu 2.187 0.000 3.693
Cu 2.187 2.187 0.000
Ge 0.000 2.187 9.041
Ge 2.187 0.000 1.251
Ge 2.187 2.187 5.146
```

E_form   -0.292 eV per atom
Final energy   -3.743 eV per atom
Calculated volume   196.8 Å³ per cell
D(E_F)   0.4789 states/eV per atom



## Nd2Sn3GePd4 (PBE)

Data for a relaxed Nd2Sn3GePd4 crystal.

The structure in extended XYZ format:
```
10
Lattice="4.548 0.000 0.000 0.000 4.548 0.000 0.000 0.000 10.602" Properties=species:S:1:pos:R:3 pbc="T T T"
Nd 0.000 2.274 2.618
Nd 2.274 0.000 7.985
Sn 0.000 0.000 0.000
Sn 0.000 2.274 6.693
Sn 2.274 0.000 3.910
Ge 2.274 2.274 0.000
Pd 0.000 0.000 5.301
Pd 0.000 2.274 9.297
Pd 2.274 0.000 1.305
Pd 2.274 2.274 5.301
```

E_form   -0.755 eV per atom
Final energy   -5.448 eV per atom
Calculated volume   219.3 Å³ per cell
D(E_F)   0.5733 states/eV per atom



## CaAl4Ga12 (PBE)

Data for a relaxed CaAl4Ga12 crystal.

The structure in extended XYZ format:
```
17
Lattice="-4.494 4.494 4.494 4.494 -4.494 4.494 4.494 4.494 -4.494" Properties=species:S:1:pos:R:3 pbc="T T T"
Ca 0.000 0.000 0.000
Al 2.247 2.247 -2.247
Al 2.247 -2.247 2.247
Al -2.247 2.247 2.247
Al 2.247 2.247 2.247
Ga 3.195 1.344 0.000
Ga 5.792 1.344 0.000
Ga 4.494 -1.298 3.150
Ga 3.150 4.494 -1.298
Ga 1.344 0.000 3.195
Ga 4.494 1.298 3.150
Ga 0.000 3.195 1.344
Ga 3.150 4.494 1.298
Ga 1.344 0.000 5.792
Ga 0.000 5.792 1.344
Ga -1.298 3.150 4.494
Ga 1.298 3.150 4.494
```

E_form   0.059 eV per atom
Final energy   -3.076 eV per atom
Calculated volume   363.0 Å³ per cell
D(E_F)   0.5409 states/eV per atom



## Tl6W7 (PBE)

Data for a relaxed Tl6W7 crystal.

The structure in extended XYZ format:
```
13
Lattice="2.784 1.607 9.753 -2.784 1.607 9.753 0.000 -3.215 9.753" Properties=species:S:1:pos:R:3 pbc="T T T"
Tl 0.000 0.000 1.499
Tl 0.000 0.000 4.563
Tl 0.000 0.000 9.717
Tl 0.000 0.000 19.541
Tl 0.000 0.000 24.696
Tl 0.000 0.000 27.760
W -1.352 -0.781 12.379
W 0.000 -1.561 16.879
W -1.352 0.781 16.879
W 0.000 0.000 14.629
W 1.352 -0.781 12.379
W 0.000 1.561 12.379
W 1.352 0.781 16.879
```

E_form   0.862 eV per atom
Final energy   -7.205 eV per atom
Calculated volume   261.9 Å³ per cell
D(E_F)   0.8091 states/eV per atom



## AlSb (PBE)

Data for a relaxed AlSb crystal.

The structure in extended XYZ format:
```
4
Lattice="4.395 0.000 0.000 -2.197 3.806 0.000 0.000 0.000 7.237" Properties=species:S:1:pos:R:3 pbc="T T T"
Al 0.000 2.537 0.000
Al 2.197 1.269 3.618
Sb 0.000 2.537 2.707
Sb 2.197 1.269 6.325
```

Final energy   -4.091 eV per atom
Raw formation energy   -0.1589 eV/atom
Calculated volume   121.0 Å³ per cell



## Ho2HfScP4 (PBE)

Data for a relaxed Ho2HfScP4 crystal.

The structure in extended XYZ format:
```
8
Lattice="6.656 0.000 0.000 0.000 3.844 0.000 -2.206 0.000 6.299" Properties=species:S:1:pos:R:3 pbc="T T T"
Ho 0.000 0.000 0.000
Ho 3.328 1.922 0.000
Hf -1.103 1.922 3.150
Sc 2.225 0.000 3.150
P -0.001 0.000 4.621
P 1.099 1.922 1.673
P 3.351 1.922 4.626
P 4.451 0.000 1.678
```

E_form   -1.517 eV per atom
Final energy   -7.402 eV per atom
Calculated volume   161.2 Å³ per cell
D(E_F)   0.1797 states/eV per atom